*w*
The following is a DFT calculation (GGA-PBE) of a relaxed structure of TlSn4Se8.

a = 7.8284 Å, b = 7.8284 Å, c = 24.1746 Å
α = 90.00°, β = 90.00°, γ = 120.00°
Closest atoms and distances in Å follow each position.
Space group R-3m (No. 166, hexagonal axes)
One atom of each set of equivalent atoms:
Tl1 0.0000 0.0000 0.0000 [3 per cell]  6 Se 3.33
Sn1 0.0000 0.0000 0.5000 [3 per cell]  6 Se 2.76
Sn2 0.0000 0.5000 0.5000 [9 per cell]  6 Se 2.76-2.78
Se1 0.0000 0.0000 0.2325 [6 per cell]  3 Sn 2.76
Se2 0.0021 0.5011 0.2329 [18 per cell]  3 Sn 2.76-2.78

The crystal system is trigonal. Its density of states at the Fermi level is 10.1 states/eV per cell. As for the volume: 32.90 Å³/atom.

***

*x*
The following is a DFT calculation (GGA-PBE) of a relaxed structure of TlSn4Se8.

a = 11.6048 Å, b = 11.6048 Å, c = 11.6048 Å
α = 90.00°, β = 90.00°, γ = 90.00°
Closest atoms and distances in Å follow each position.
Space group F-43m (No. 216)
One atom of each set of equivalent atoms:
Tl1 0.0000 0.0000 0.0000 [4 per cell]  4 Se 2.75
Sn1 0.1162 0.1162 0.6162 [16 per cell]  6 Se 2.79-2.89
Se1 0.1237 0.1237 0.3763 [16 per cell]  3 Sn 2.79
Se2 0.1367 0.1367 0.8633 [16 per cell]  1 Tl 2.75, 3 Sn 2.89

The crystal system is cubic. Its density of states at the Fermi level is 32.0 states/eV per cell. As for the volume: 30.05 Å³/atom.

***

Ranking the structures above from most stable to least stable yields *w*, *x*.